No. 1
DFT (PBE) results for a relaxed structure of ErGeOs.

Calculated values
SG ... P-6m2
Formation energy from the elements ... -0.403 eV/atom

a = 4.3629 Å, b = 4.3629 Å, c = 3.4653 Å
α = 90.00°, β = 90.00°, γ = 120.00°
Element x y z (fractional)
Er  0.0000  0.0000  0.0000
Ge  0.3333  0.6667  0.5000
Os  0.6667  0.3333  0.5000



No. 2
DFT (PBE) results for a relaxed structure of Er8GeOs2.

Calculated values
SG ... Cm
Formation energy from the elements ... -0.277 eV/atom

a = 7.6594 Å, b = 7.6594 Å, c = 5.5856 Å
α = 98.87°, β = 98.87°, γ = 112.28°
Element x y z (fractional)
Er  0.0000  0.0000  0.0000
Er  0.0352  0.3028  0.5923
Er  0.1363  0.6029  0.1946
Er  0.3028  0.0352  0.5923
Er  0.4411  0.7055  0.7796
Er  0.6029  0.1363  0.1946
Er  0.7055  0.4411  0.7796
Er  0.7501  0.7501  0.3948
Ge  0.3728  0.3728  0.3050
Os  0.0585  0.6849  0.6952
Os  0.6849  0.0585  0.6952



No. 3
DFT (PBE) results for a relaxed structure of PmErGeOs.

Calculated values
SG ... F-43m
Formation energy from the elements ... -0.291 eV/atom

a = 4.9809 Å, b = 4.9809 Å, c = 4.9809 Å
α = 60.00°, β = 60.00°, γ = 60.00°
Element x y z (fractional)
Pm  0.0000  0.0000  0.0000
Er  0.5000  0.5000  0.5000
Ge  0.7500  0.7500  0.7500
Os  0.2500  0.2500  0.2500



No. 4
DFT (PBE) results for a relaxed structure of ErGeP2.

Calculated values
SG ... R-3m
Formation energy from the elements ... 0.183 eV/atom

a = 8.5818 Å, b = 8.5818 Å, c = 8.5818 Å
α = 23.92°, β = 23.92°, γ = 23.92°
Element x y z (fractional)
Er  0.0000  0.0000  0.0000
Ge  0.5000  0.5000  0.5000
P  0.1095  0.1095  0.1095
P  0.8905  0.8905  0.8905



No. 5
DFT (PBE) results for a relaxed structure of ErGeP.

Calculated values
SG ... I4/mmm
Formation energy from the elements ... -0.624 eV/atom

a = 10.6360 Å, b = 10.6360 Å, c = 10.6360 Å
α = 159.20°, β = 159.20°, γ = 29.58°
Element x y z (fractional)
Er  0.1745  0.1745  0.0000
Er  0.8255  0.8255  0.0000
Ge  0.4261  0.4261  0.0000
Ge  0.5739  0.5739  0.0000
P  0.3095  0.3095  0.0000
P  0.6905  0.6905  0.0000



No. 6
DFT (PBE) results for a relaxed structure of Er3GeP2Rh8.

Calculated values
SG ... P-3m1
Formation energy from the elements ... -0.742 eV/atom

a = 5.4069 Å, b = 5.4069 Å, c = 9.2696 Å
α = 90.00°, β = 90.00°, γ = 120.00°
Element x y z (fractional)
Er  0.0000  0.0000  0.0000
Er  0.3333  0.6667  0.5629
Er  0.6667  0.3333  0.4371
Ge  0.0000  0.0000  0.5000
P  0.3333  0.6667  0.0989
P  0.6667  0.3333  0.9011
Rh  0.1649  0.3298  0.2777
Rh  0.1649  0.8351  0.2777
Rh  0.3298  0.1649  0.7223
Rh  0.3333  0.6667  0.8617
Rh  0.6667  0.3333  0.1383
Rh  0.6702  0.8351  0.2777
Rh  0.8351  0.1649  0.7223
Rh  0.8351  0.6702  0.7223



No. 7
DFT (PBE) results for a relaxed structure of Er4GePS2.

Calculated values
SG ... P2/m
Formation energy from raw total energies ... -1.66 eV per atom

a = 6.8588 Å, b = 3.9731 Å, c = 6.8821 Å
α = 90.00°, β = 109.49°, γ = 90.00°
Element x y z (fractional)
Er  0.2426  0.0000  0.2462
Er  0.2457  0.5000  0.7504
Er  0.7543  0.5000  0.2496
Er  0.7574  0.0000  0.7538
Ge  0.0000  0.0000  0.5000
P  0.0000  0.5000  0.0000
S  0.5000  0.0000  0.0000
S  0.5000  0.5000  0.5000



No. 8
DFT (PBE) results for a relaxed structure of Er6GeP3S2.

Calculated values
SG ... C2/m
Formation energy from raw total energies ... -1.65 eV per atom

a = 8.8630 Å, b = 8.8630 Å, c = 7.9581 Å
α = 102.90°, β = 102.90°, γ = 25.76°
Element x y z (fractional)
Er  0.0007  0.0007  0.2459
Er  0.3322  0.3322  0.4213
Er  0.3353  0.3353  0.9111
Er  0.6647  0.6647  0.0889
Er  0.6678  0.6678  0.5787
Er  0.9993  0.9993  0.7541
Ge  0.5000  0.5000  0.5000
P  0.1682  0.1682  0.3317
P  0.5000  0.5000  0.0000
P  0.8318  0.8318  0.6683
S  0.1690  0.1690  0.8382
S  0.8310  0.8310  0.1618



| no. | uncorrected energy (eV/atom) |
| --- | --- |
| 1 | -7.206 |
| 2 | -6.057 |
| 3 | -6.581 |
| 4 | -4.817 |
| 5 | -5.487 |
| 6 | -7.023 |
| 7 | -6.223 |
| 8 | -6.361 |